(1)
VASP calculation (PBE) on a relaxed structure of Tb3Pr2Sm9.

Output
- E_form (meV per atom) = 250
- spin magnetization (μB per cell) = 0.0

a = 9.143 Å, b = 9.143 Å, c = 13.756 Å
α = 90.00°, β = 90.00°, γ = 120.00°
Fractional coordinates of all 28 atoms:
Tb (0.079, 0.249, 0.250)
Tb (0.170, 0.921, 0.250)
Tb (0.249, 0.170, 0.750)
Tb (0.751, 0.830, 0.250)
Tb (0.830, 0.079, 0.750)
Tb (0.921, 0.751, 0.750)
Pr (0.333, 0.667, 0.138)
Pr (0.333, 0.667, 0.362)
Pr (0.667, 0.333, 0.638)
Pr (0.667, 0.333, 0.862)
Sm (0.084, 0.482, 0.750)
Sm (0.129, 0.723, 0.542)
Sm (0.129, 0.723, 0.958)
Sm (0.277, 0.406, 0.542)
Sm (0.277, 0.406, 0.958)
Sm (0.398, 0.916, 0.750)
Sm (0.406, 0.129, 0.042)
Sm (0.406, 0.129, 0.458)
Sm (0.482, 0.398, 0.250)
Sm (0.518, 0.602, 0.750)
Sm (0.594, 0.871, 0.542)
Sm (0.594, 0.871, 0.958)
Sm (0.602, 0.084, 0.250)
Sm (0.723, 0.594, 0.042)
Sm (0.723, 0.594, 0.458)
Sm (0.871, 0.277, 0.042)
Sm (0.871, 0.277, 0.458)
Sm (0.916, 0.518, 0.250)

=====

(2)
VASP calculation (PBE) on a relaxed structure of YHgPb2.

Output
- E_form (meV per atom) = -195
- spin magnetization (μB per cell) = 0.0

a = 4.116 Å, b = 4.116 Å, c = 6.764 Å
α = 90.00°, β = 90.00°, γ = 90.00°
Fractional coordinates of all 4 atoms:
Y (0.000, 0.000, 0.000)
Hg (0.000, 0.000, 0.500)
Pb (0.500, 0.500, 0.249)
Pb (0.500, 0.500, 0.751)

=====

(3)
VASP calculation (PBE) on a relaxed structure of Sc2TcMo.

Output
- E_form (meV per atom) = 67
- spin magnetization (μB per cell) = 0.0
- energy relative to the lowest polymorph listed for this composition (meV per atom) = 190

a = 5.385 Å, b = 5.385 Å, c = 5.385 Å
α = 144.75°, β = 127.74°, γ = 64.62°
Fractional coordinates of all 4 atoms:
Sc (0.239, 0.239, 0.000)
Sc (0.761, 0.761, 0.000)
Tc (0.000, 0.500, 0.500)
Mo (0.500, 0.000, 0.500)

=====

(4)
VASP calculation (PBE) on a relaxed structure of Tb6NdSm12.

Output
- E_form (meV per atom) = 141
- spin magnetization (μB per cell) = 0.0
- energy relative to the lowest polymorph listed for this composition (meV per atom) = 0

a = 8.641 Å, b = 8.641 Å, c = 8.641 Å
α = 88.91°, β = 88.91°, γ = 88.91°
Fractional coordinates of all 19 atoms:
Tb (0.196, 0.760, 0.597)
Tb (0.240, 0.403, 0.804)
Tb (0.403, 0.804, 0.240)
Tb (0.597, 0.196, 0.760)
Tb (0.760, 0.597, 0.196)
Tb (0.804, 0.240, 0.403)
Nd (0.500, 0.500, 0.500)
Sm (0.038, 0.934, 0.278)
Sm (0.066, 0.722, 0.962)
Sm (0.140, 0.485, 0.300)
Sm (0.278, 0.038, 0.934)
Sm (0.300, 0.140, 0.485)
Sm (0.485, 0.300, 0.140)
Sm (0.515, 0.700, 0.860)
Sm (0.700, 0.860, 0.515)
Sm (0.722, 0.962, 0.066)
Sm (0.860, 0.515, 0.700)
Sm (0.934, 0.278, 0.038)
Sm (0.962, 0.066, 0.722)